DFT (PBE) results for a relaxed structure of Ta2RhPb.

Fermi-level density of states = 1.95 states/eV/cell
SG = Pm, No. 6
Formation energy from the elements = 0.113 eV per atom
Final energy = -0.315 hartree per atom
Magnetic moment = 0.00 μB/atom

a = 4.0133 Å, b = 3.0489 Å, c = 6.4802 Å
α = 76.69°, β = 90.00°, γ = 90.00°
Element x y z (fractional)
Pb: 0.0000 0.6977 0.4894
Ta: 0.0000 0.9446 0.9809
Rh: 0.5000 0.5340 0.8000
Ta: 0.5000 0.3238 0.2296